Entry 1:
VASP calculation (PBE) on crystalline Ti5Ga6Pd at its relaxed geometry.

Geometry as CIF:
```
data_Ti5Ga6Pd
_symmetry_space_group_name_H-M 'I m m m'
_symmetry_Int_Tables_number 71
_symmetry_space_group_name_Hall '-I 2 2'
_cell_length_a 3.995
_cell_length_b 7.627
_cell_length_c 12.379
_cell_angle_alpha 90.00
_cell_angle_beta 90.00
_cell_angle_gamma 90.00
loop_
_atom_site_label
_atom_site_fract_x
_atom_site_fract_y
_atom_site_fract_z
Ti1 0.000 0.000 0.000
Ti2 0.000 0.000 0.330
Ti3 0.000 0.500 0.337
Ga1 0.000 0.243 0.500
Ga2 0.000 0.254 0.168
Pd1 0.000 0.500 0.000
```

Properties
Crystal system = orthorhombic
Volume = 188.58 Å³/f.u.
Distance to the lowest polymorph of the same formula = 8 meV/atom
Energy of formation = -5.389 eV per formula unit
DFT total energy = -0.2089 hartree per atom

Entry 2:
VASP calculation (PBE) on crystalline PaVZn4 at its relaxed geometry.

Geometry as CIF:
```
data_PaVZn4
_symmetry_space_group_name_H-M 'F -4 3 m'
_symmetry_Int_Tables_number 216
_symmetry_space_group_name_Hall 'F -4 2 3'
_cell_length_a 7.391
_cell_length_b 7.391
_cell_length_c 7.391
_cell_angle_alpha 90.00
_cell_angle_beta 90.00
_cell_angle_gamma 90.00
loop_
_atom_site_label
_atom_site_fract_x
_atom_site_fract_y
_atom_site_fract_z
Pa1 0.000 0.000 0.000
V1 0.250 0.250 0.750
Zn1 0.124 0.124 0.376
```

Properties
Crystal system = cubic
Volume = 100.95 Å³/f.u.
Energy of formation = -0.008 eV per formula unit
DFT total energy = -0.1453 hartree per atom

Entry 3:
VASP calculation (PBE) on crystalline ThGe4Rh2 at its relaxed geometry.

Geometry as CIF:
```
data_ThGe4Rh2
_symmetry_space_group_name_H-M 'P n m a'
_symmetry_Int_Tables_number 62
_cell_length_a 17.210
_cell_length_b 4.383
_cell_length_c 6.711
_cell_angle_alpha 90.00
_cell_angle_beta 90.00
_cell_angle_gamma 90.00
loop_
_symmetry_equiv_pos_as_xyz
'x,y,z'
'-x,-y,-z'
'-x+1/2,-y,z+1/2'
'x+1/2,y,-z+1/2'
'x+1/2,-y+1/2,-z+1/2'
'-x+1/2,y+1/2,z+1/2'
'-x,y+1/2,-z'
'x,-y+1/2,z'
loop_
_atom_site_label
_atom_site_fract_x
_atom_site_fract_y
_atom_site_fract_z
Th1 0.141 0.250 0.004
Ge1 0.034 0.750 0.855
Ge2 0.065 0.250 0.469
Ge3 0.179 0.750 0.316
Ge4 0.193 0.750 0.719
Rh1 0.029 0.750 0.243
Rh2 0.212 0.250 0.526
```

Properties
Crystal system = orthorhombic
Volume = 126.56 Å³/f.u.
Energy of formation = -4.433 eV per formula unit
DFT total energy = -0.2364 hartree per atom

Entry 4:
VASP calculation (PBE) on crystalline BTeW3 at its relaxed geometry.

Geometry as CIF:
```
data_BTeW3
_symmetry_space_group_name_H-M 'P m -3 m'
_symmetry_Int_Tables_number 221
_symmetry_space_group_name_Hall '-P 4 2 3'
_cell_length_a 4.872
_cell_length_b 4.872
_cell_length_c 4.872
_cell_angle_alpha 90.00
_cell_angle_beta 90.00
_cell_angle_gamma 90.00
loop_
_atom_site_label
_atom_site_fract_x
_atom_site_fract_y
_atom_site_fract_z
B1 0.000 0.000 0.000
Te1 0.500 0.500 0.500
W1 0.000 0.500 0.500
```

Properties
Formation energy from raw total energies = 3.4706 eV/atom
Crystal system = cubic
Volume = 115.67 Å³/f.u.
Distance to the lowest polymorph of the same formula = 2715 meV/atom
DFT total energy = -0.2302 hartree per atom

Entry 5:
VASP calculation (PBE) on crystalline Rb2NpTaO6 at its relaxed geometry.

Geometry as CIF:
```
data_Rb2NpTaO6
_symmetry_space_group_name_H-M 'F m -3 m'
_symmetry_Int_Tables_number 225
_symmetry_space_group_name_Hall '-F 4 2 3'
_cell_length_a 8.408
_cell_length_b 8.408
_cell_length_c 8.408
_cell_angle_alpha 90.00
_cell_angle_beta 90.00
_cell_angle_gamma 90.00
loop_
_atom_site_label
_atom_site_fract_x
_atom_site_fract_y
_atom_site_fract_z
Rb1 0.250 0.250 0.250
Np1 0.000 0.000 0.000
Ta1 0.000 0.000 0.500
O1 0.000 0.000 0.259
```

Properties
Formation energy from raw total energies = -2.5916 eV/atom
Crystal system = cubic
Volume = 148.62 Å³/f.u.
DFT total energy = -0.3028 hartree per atom

Entry 6:
VASP calculation (PBE) on crystalline YNpNi10 at its relaxed geometry.

Geometry as CIF:
```
data_YNpNi10
_symmetry_space_group_name_H-M 'P m m m'
_symmetry_Int_Tables_number 47
_cell_length_a 3.963
_cell_length_b 4.869
_cell_length_c 8.427
_cell_angle_alpha 90.00
_cell_angle_beta 90.00
_cell_angle_gamma 90.00
loop_
_symmetry_equiv_pos_as_xyz
'x,y,z'
'-x,-y,-z'
'-x,-y,z'
'x,y,-z'
'x,-y,-z'
'-x,y,z'
'-x,y,-z'
'x,-y,z'
loop_
_atom_site_label
_atom_site_fract_x
_atom_site_fract_y
_atom_site_fract_z
Y1 0.000 0.000 0.000
Np1 0.000 0.500 0.500
Ni1 0.000 0.000 0.337
Ni2 0.000 0.500 0.173
Ni3 0.500 0.000 0.500
Ni4 0.500 0.252 0.253
Ni5 0.500 0.500 0.000
```

Properties
Crystal system = orthorhombic
Volume = 162.60 Å³/f.u.
Energy of formation = -2.711 eV per formula unit
DFT total energy = -0.2448 hartree per atom

Entry 7:
VASP calculation (PBE) on crystalline TbSmTmN3 at its relaxed geometry.

Geometry as CIF:
```
data_TbSmTmN3
_symmetry_space_group_name_H-M 'P 1 21/m 1'
_symmetry_Int_Tables_number 11
_cell_length_a 5.997
_cell_length_b 3.479
_cell_length_c 9.018
_cell_angle_alpha 90.00
_cell_angle_beta 101.66
_cell_angle_gamma 90.00
loop_
_symmetry_equiv_pos_as_xyz
'x,y,z'
'-x,-y,-z'
'-x,y+1/2,-z'
'x,-y+1/2,z'
loop_
_atom_site_label
_atom_site_fract_x
_atom_site_fract_y
_atom_site_fract_z
Tb1 0.231 0.250 0.454
Sm1 0.347 0.750 0.804
Tm1 0.148 0.750 0.139
N1 0.037 0.250 0.658
N2 0.245 0.250 0.008
N3 0.459 0.750 0.329
```

Properties
Formation energy from raw total energies = -1.4677 eV/atom
Crystal system = monoclinic
Volume = 92.13 Å³/f.u.
DFT total energy = -0.2916 hartree per atom

Entry 8:
VASP calculation (PBE) on crystalline SrInIr3 at its relaxed geometry.

Geometry as CIF:
```
data_SrInIr3
_symmetry_space_group_name_H-M 'P m -3 m'
_symmetry_Int_Tables_number 221
_symmetry_space_group_name_Hall '-P 4 2 3'
_cell_length_a 5.013
_cell_length_b 5.013
_cell_length_c 5.013
_cell_angle_alpha 90.00
_cell_angle_beta 90.00
_cell_angle_gamma 90.00
loop_
_atom_site_label
_atom_site_fract_x
_atom_site_fract_y
_atom_site_fract_z
Sr1 0.000 0.000 0.000
In1 0.500 0.500 0.500
Ir1 0.000 0.000 0.500
```

Properties
Crystal system = cubic
Volume = 125.99 Å³/f.u.
Distance to the lowest polymorph of the same formula = 1245 meV/atom
Energy of formation = 11.914 eV per formula unit
DFT total energy = -0.1403 hartree per atom

Q: Which value of DFT total energy does entry 5 give?
A: -0.3028 hartree per atom

Repeat the first record exactly.
VASP calculation (PBE) on crystalline Ti5Ga6Pd at its relaxed geometry.

Geometry as CIF:
```
data_Ti5Ga6Pd
_symmetry_space_group_name_H-M 'I m m m'
_symmetry_Int_Tables_number 71
_symmetry_space_group_name_Hall '-I 2 2'
_cell_length_a 3.995
_cell_length_b 7.627
_cell_length_c 12.379
_cell_angle_alpha 90.00
_cell_angle_beta 90.00
_cell_angle_gamma 90.00
loop_
_atom_site_label
_atom_site_fract_x
_atom_site_fract_y
_atom_site_fract_z
Ti1 0.000 0.000 0.000
Ti2 0.000 0.000 0.330
Ti3 0.000 0.500 0.337
Ga1 0.000 0.243 0.500
Ga2 0.000 0.254 0.168
Pd1 0.000 0.500 0.000
```

Properties
Crystal system = orthorhombic
Volume = 188.58 Å³/f.u.
Distance to the lowest polymorph of the same formula = 8 meV/atom
Energy of formation = -5.389 eV per formula unit
DFT total energy = -0.2089 hartree per atom

Q: Number 1 is which compound?
A: Ti5Ga6Pd

Q: What is the formula in the fifth record?
A: Rb2NpTaO6